The following is a GGA-PBE calculation of a geometry-optimized Pr6Nd12Ho structure, from Alexandria via LeMat-Bulk.

Structure (POSCAR):
```
Pr6Nd12Ho
1.0
8.735 0.677 0.811
-0.655 8.737 0.811
-0.655 -0.764 8.741
Pr Ho Nd
6 1 12
direct
0.263 0.095 0.699
0.699 0.263 0.095
0.905 0.301 0.737
0.737 0.905 0.301
0.301 0.737 0.905
0.095 0.699 0.263
0.000 0.000 0.000
0.982 0.808 0.640
0.360 0.018 0.192
0.780 0.535 0.436
0.640 0.982 0.808
0.808 0.640 0.982
0.018 0.192 0.360
0.220 0.465 0.564
0.192 0.360 0.018
0.465 0.564 0.220
0.535 0.436 0.780
0.564 0.220 0.465
0.436 0.780 0.535
```

Properties
Space-group type ... No. 148
Formation energy ... 125 meV/atom
Calculated density ... 6684 kg/m³
Excess energy over the best structure of this formula in the dataset ... 0.0000 eV per atom
Crystal system ... trigonal
Calculated volume ... 35.84 Å³/atom

***

The following is a GGA-PBE calculation of a geometry-optimized KMnRu structure, from Alexandria via LeMat-Bulk.

Structure (POSCAR):
```
KMnRu
1.0
-1.700 1.943 -1.470
-1.260 -2.135 1.637
0.044 4.718 6.186
K Mn Ru
1 1 1
direct
0.000 0.000 0.988
0.667 0.333 0.390
0.333 0.667 0.622
```

Properties
Space-group type ... No. 156
Formation energy ... 910 meV/atom
Calculated density ... 5450 kg/m³
Excess energy over the best structure of this formula in the dataset ... 0.2074 eV per atom
Crystal system ... trigonal
Calculated volume ... 19.82 Å³/atom

***

The following is a GGA-PBE calculation of a geometry-optimized Th2MgURu6 structure, from Alexandria via LeMat-Bulk.

Structure (POSCAR):
```
Th2MgURu6
1.0
-5.514 0.198 -2.890
5.552 -0.741 -7.278
-0.169 -3.637 -4.031
Mg Th Ru U
1 2 6 1
direct
0.000 0.000 0.000
0.229 0.756 0.472
0.771 0.244 0.528
0.278 0.806 0.878
0.734 0.559 0.462
0.256 0.161 0.203
0.744 0.839 0.797
0.266 0.441 0.538
0.722 0.194 0.122
0.500 0.500 0.000
```

Properties
Space-group type ... No. 2
Formation energy ... -231 meV/atom
Calculated density ... 11474 kg/m³
Crystal system ... triclinic
Calculated volume ... 19.29 Å³/atom

***

The following is a GGA-PBE calculation of a geometry-optimized Mg2N2Cl3 structure, from Alexandria via LeMat-Bulk.

Structure (POSCAR):
```
Mg2N2Cl3
1.0
3.410 -0.058 1.513
1.745 6.044 0.896
0.246 -1.633 7.158
Cl N Mg
3 2 2
direct
0.559 0.510 0.219
0.500 0.000 0.000
0.441 0.490 0.781
0.661 0.982 0.424
0.339 0.018 0.576
0.985 0.249 0.864
0.015 0.751 0.136
```

Properties
Space-group type ... No. 2
E_form (uncorrected) ... -7.54 eV per formula unit
Calculated density ... 2072 kg/m³
Crystal system ... triclinic
Calculated volume ... 20.95 Å³/atom

***

The following is a GGA-PBE calculation of a geometry-optimized AcOsF6 structure, from Alexandria via LeMat-Bulk.

Structure (POSCAR):
```
AcOsF6
1.0
7.020 -0.911 -2.065
-2.372 3.962 -1.292
-1.113 0.169 4.662
Ac F Os
1 6 1
direct
0.500 0.000 0.000
0.943 0.638 0.638
0.307 0.359 0.000
0.307 0.000 0.359
0.693 0.641 0.000
0.693 0.000 0.641
0.057 0.362 0.362
0.000 0.000 0.000
```

Properties
Space-group type ... No. 12
E_form (uncorrected) ... -21.30 eV per formula unit
Calculated density ... 7909 kg/m³
Crystal system ... monoclinic
Calculated volume ... 13.94 Å³/atom

***

The following is a GGA-PBE calculation of a geometry-optimized Cr2ReHg structure, from Alexandria via LeMat-Bulk.

Structure (POSCAR):
```
Cr2ReHg
1.0
-2.302 -4.413 0.010
-1.909 -3.678 2.757
-4.498 0.667 0.465
Cr Hg Re
2 1 1
direct
0.718 0.718 0.767
0.024 0.024 0.001
0.487 0.487 0.527
0.271 0.271 0.205
```

Properties
Space-group type ... No. 8
Formation energy ... 563 meV/atom
Calculated density ... 13866 kg/m³
Crystal system ... monoclinic
Calculated volume ... 14.69 Å³/atom

***

The following is a GGA-PBE calculation of a geometry-optimized PuNpCrFe structure, from Alexandria via LeMat-Bulk.

Structure (POSCAR):
```
PuNpCrFe
1.0
-4.300 0.113 0.650
-2.672 -2.040 -2.762
-2.104 -3.593 1.263
Fe Pu Cr Np
1 1 1 1
direct
0.250 0.250 0.250
0.000 0.000 0.000
0.500 0.500 0.500
0.750 0.750 0.750
```

Properties
Space-group type ... No. 216
Formation energy ... 179 meV/atom
Calculated density ... 16790 kg/m³
Crystal system ... cubic
Calculated volume ... 14.56 Å³/atom

***

The following is a GGA-PBE calculation of a geometry-optimized Ca3Ni structure, from Alexandria via LeMat-Bulk.

Structure (POSCAR):
```
Ca3Ni
1.0
6.019 0.002 0.000
2.132 5.629 0.000
-4.076 -2.815 3.419
Ca Ni
3 1
direct
0.750 0.250 0.500
0.500 0.500 0.000
0.250 0.750 0.500
0.000 0.000 0.000
```

Properties
Space-group type ... No. 139
Formation energy ... 246 meV/atom
Calculated density ... 2565 kg/m³
Crystal system ... tetragonal
Calculated volume ... 28.96 Å³/atom